1.
VASP calculation (PBE) on a relaxed MgSiRu crystal.

Output
The value obtained for the formation energy (no corrections) is -0.432 eV per atom. For the total DFT energy (no corrections), the calculation gives -5.863 eV per atom.

Lattice parameters (Å, degrees): 5.943 7.410 4.665 90.00 90.00 90.00
Positions (direct):
Mg (0.250, 0.250, 0.000)
Mg (0.250, 0.750, 0.000)
Mg (0.750, 0.250, 0.000)
Mg (0.750, 0.750, 0.000)
Si (0.200, 0.000, 0.500)
Si (0.300, 0.500, 0.500)
Si (0.700, 0.500, 0.500)
Si (0.800, 0.000, 0.500)
Ru (0.000, 0.285, 0.500)
Ru (0.000, 0.715, 0.500)
Ru (0.500, 0.215, 0.500)
Ru (0.500, 0.785, 0.500)

2.
VASP calculation (PBE) on a relaxed Pm5IrAu4 crystal.

Output
Its formation enthalpy at 0 K is -754 meV per atom. For the total DFT energy (no corrections), the calculation gives -5.327 eV per atom.

Lattice parameters (Å, degrees): 3.641 3.641 18.480 90.00 90.00 90.00
Positions (direct):
Pm (0.000, 0.000, 0.000)
Pm (0.000, 0.000, 0.204)
Pm (0.000, 0.000, 0.409)
Pm (0.000, 0.000, 0.591)
Pm (0.000, 0.000, 0.796)
Ir (0.500, 0.500, 0.500)
Au (0.500, 0.500, 0.101)
Au (0.500, 0.500, 0.304)
Au (0.500, 0.500, 0.696)
Au (0.500, 0.500, 0.899)

3.
VASP calculation (PBE) on a relaxed CoC3Se crystal.

Output
The value obtained for the formation energy (no corrections) is 2.189 eV per atom. For the total DFT energy (no corrections), the calculation gives -5.463 eV per atom.

Lattice parameters (Å, degrees): 3.805 3.805 3.805 90.00 90.00 90.00
Positions (direct):
Co (0.000, 0.000, 0.000)
C (0.000, 0.000, 0.500)
C (0.000, 0.500, 0.000)
C (0.500, 0.000, 0.000)
Se (0.500, 0.500, 0.500)

4.
VASP calculation (PBE) on a relaxed YIrRu2 crystal.

Output
Its formation enthalpy at 0 K is 454 meV per atom. For the total DFT energy (no corrections), the calculation gives -8.016 eV per atom.

Lattice parameters (Å, degrees): 2.851 2.851 28.290 90.00 90.00 120.00
Positions (direct):
Y (0.000, 0.000, 0.000)
Y (0.333, 0.667, 0.667)
Y (0.667, 0.333, 0.333)
Ir (0.000, 0.000, 0.500)
Ir (0.333, 0.667, 0.167)
Ir (0.667, 0.333, 0.833)
Ru (0.000, 0.000, 0.242)
Ru (0.000, 0.000, 0.758)
Ru (0.333, 0.667, 0.424)
Ru (0.333, 0.667, 0.909)
Ru (0.667, 0.333, 0.091)
Ru (0.667, 0.333, 0.576)

5.
VASP calculation (PBE) on a relaxed La2Pr8Tl3 crystal.

Output
Its formation enthalpy at 0 K is 35 meV per atom. For the total DFT energy (no corrections), the calculation gives -4.210 eV per atom.

Lattice parameters (Å, degrees): 8.647 8.647 7.060 97.27 97.27 61.78
Positions (direct):
La (0.189, 0.189, 0.269)
La (0.811, 0.811, 0.731)
Pr (0.182, 0.182, 0.794)
Pr (0.204, 0.571, 0.577)
Pr (0.405, 0.405, 0.096)
Pr (0.429, 0.796, 0.423)
Pr (0.571, 0.204, 0.577)
Pr (0.595, 0.595, 0.904)
Pr (0.796, 0.429, 0.423)
Pr (0.818, 0.818, 0.206)
Tl (0.000, 0.000, 0.500)
Tl (0.175, 0.825, 0.000)
Tl (0.825, 0.175, 0.000)

6.
VASP calculation (PBE) on a relaxed NaCd9Pb2 crystal.

Output
Its formation enthalpy at 0 K is -16 meV per atom. For the total DFT energy (no corrections), the calculation gives -1.431 eV per atom.

Lattice parameters (Å, degrees): 10.288 10.288 10.288 34.10 34.10 34.10
Positions (direct):
Na (0.000, 0.000, 0.000)
Cd (0.080, 0.586, 0.586)
Cd (0.334, 0.334, 0.334)
Cd (0.414, 0.414, 0.920)
Cd (0.414, 0.920, 0.414)
Cd (0.500, 0.500, 0.500)
Cd (0.586, 0.080, 0.586)
Cd (0.586, 0.586, 0.080)
Cd (0.666, 0.666, 0.666)
Cd (0.920, 0.414, 0.414)
Pb (0.141, 0.141, 0.141)
Pb (0.859, 0.859, 0.859)